1.
The following is a PBE-GGA calculation of an optimized crystal structure of Tb2Tm6Th, from Alexandria.

Lattice parameters (Å, degrees): 9.442 9.442 6.483 97.99 97.99 96.60
Sites, in units of the cell vectors:
1 Tb 0.115 0.162 0.372
2 Tb 0.162 0.115 0.872
3 Tb 0.838 0.885 0.128
4 Tb 0.885 0.838 0.628
5 Tm 0.042 0.440 0.728
6 Tm 0.154 0.775 0.995
7 Tm 0.225 0.846 0.505
8 Tm 0.272 0.454 0.183
9 Tm 0.440 0.042 0.228
10 Tm 0.454 0.272 0.683
11 Tm 0.546 0.728 0.317
12 Tm 0.560 0.958 0.772
13 Tm 0.728 0.546 0.817
14 Tm 0.775 0.154 0.495
15 Tm 0.846 0.225 0.005
16 Tm 0.958 0.560 0.272
17 Th 0.389 0.611 0.750
18 Th 0.611 0.389 0.250

Calculated values
Crystal system   monoclinic
Formation energy from the elements   11.86 kJ per mole of atoms
Calculated total energy   -84.8 eV for the cell shown
SG   No. 15
Volume   31.19 Å³ per atom
D(E_F)   1.283 states/eV per atom

=====

2.
The following is a PBE-GGA calculation of an optimized crystal structure of Tb8TmTh2, from Alexandria.

Lattice parameters (Å, degrees): 10.052 10.052 5.617 92.12 92.12 40.94
Sites, in units of the cell vectors:
1 Tb 0.047 0.047 0.236
2 Tb 0.099 0.640 0.262
3 Tb 0.318 0.318 0.769
4 Tb 0.360 0.901 0.738
5 Tb 0.640 0.099 0.262
6 Tb 0.682 0.682 0.231
7 Tb 0.901 0.360 0.738
8 Tb 0.953 0.953 0.764
9 Tm 0.500 0.500 0.000
10 Th 0.219 0.219 0.264
11 Th 0.781 0.781 0.736

Calculated values
Crystal system   monoclinic
Formation energy from the elements   19.55 kJ per mole of atoms
Calculated total energy   -54.1 eV for the cell shown
SG   No. 12
Volume   33.78 Å³ per atom
D(E_F)   1.543 states/eV per atom